A relaxed structure of EuV2BiO8, computed with PBE with a Hubbard U.

Unit cell a=6.154 b=6.154 c=6.154 alpha=106.13 beta=106.13 gamma=116.38
Each line ends with the local moment (μB).
Sites, in units of the cell vectors:
1 O 0.327 0.146 0.819  -0.04
2 O 0.491 0.673 0.819  -0.04
3 O 0.759 0.078 0.681  -0.05
4 O 0.922 0.603 0.681  -0.05
5 O 0.397 0.078 0.319  -0.05
6 O 0.854 0.673 0.181  -0.04
7 O 0.327 0.509 0.181  -0.04
8 O 0.922 0.241 0.319  -0.05
9 Bi 0.000 0.000 0.000  -0.01
10 V 0.500 0.500 0.000  0.02
11 V 0.750 0.250 0.500  0.03
12 Eu 0.250 0.750 0.500  6.25

Output
SG = I-4m2
uncorrected energy = -7.7440 eV/atom